Record 1
Material: CoTe2P
Method: DFT, PBE
State: optimized geometry

The structure in POSCAR format:
```
CoTe2P
1.0
1.9168 -2.9867 0.0000
1.9168 2.9867 0.0000
0.0000 0.0000 7.4622
Co Te P
1 2 1
Cartesian
0.0000 0.0000 0.0000 Co
1.9168 0.0000 1.7262 Te
1.9168 0.0000 5.7360 Te
0.0000 0.0000 3.7311 P
```

Formation energy (no corrections) in eV per formula unit: 2.52
Size of the total moment in μB per atom: 0.334
Mass density in g cm⁻³: 6.71
SG: No. 65

***

Record 2
Material: Co2Pb
Method: DFT, PBE
State: optimized geometry

The structure in POSCAR format:
```
Co2Pb
1.0
4.4438 0.0000 0.0000
-2.2219 3.8485 0.0000
0.0000 0.0000 5.3027
Co Pb
4 2
Cartesian
0.0000 0.0000 0.0000 Co
0.0000 0.0000 2.6514 Co
0.0000 2.5656 1.3257 Co
2.2219 1.2828 3.9770 Co
0.0000 2.5656 3.9770 Pb
2.2219 1.2828 1.3257 Pb
```

Size of the total moment in μB per atom: 0.737
Energy of formation from the pure elements in eV/atom: 0.55
Mass density in g cm⁻³: 11.90
SG: No. 194

***

Record 3
Material: Mg2AlB2
Method: DFT, PBE
State: optimized geometry

The structure in POSCAR format:
```
Mg2AlB2
1.0
5.9273 0.0000 0.0000
0.0000 5.9273 0.0000
0.0000 0.0000 3.6648
Mg Al B
4 2 4
Cartesian
1.0632 1.9005 0.0000 Mg
1.9005 4.8641 0.0000 Mg
4.0268 1.0632 0.0000 Mg
4.8641 4.0268 0.0000 Mg
0.0000 0.0000 1.8324 Al
2.9637 2.9637 1.8324 Al
0.5848 3.5485 1.8324 B
2.3788 0.5848 1.8324 B
3.5485 5.3425 1.8324 B
5.3425 2.3788 1.8324 B
```

Size of the total moment in μB per atom: 0.000
Energy of formation from the pure elements in eV/atom: 0.15
Mass density in g cm⁻³: 2.51
SG: No. 127

***

Record 4
Material: Hf2Al5FePd2
Method: DFT, PBE
State: optimized geometry

The structure in POSCAR format:
```
Hf2Al5FePd2
1.0
10.4213 0.0000 0.0000
0.0000 10.4213 0.0000
0.0000 0.0000 2.9758
Hf Al Fe Pd
4 10 2 4
Cartesian
1.8501 3.3605 0.0000 Hf
3.3605 8.5712 0.0000 Hf
7.0608 1.8501 0.0000 Hf
8.5712 7.0608 0.0000 Hf
0.0000 5.2106 1.4879 Al
0.4514 8.4889 1.4879 Al
1.9324 0.4514 1.4879 Al
3.2782 5.6620 1.4879 Al
4.7593 3.2782 1.4879 Al
5.2106 0.0000 1.4879 Al
5.6620 7.1431 1.4879 Al
7.1431 4.7593 1.4879 Al
8.4889 9.9699 1.4879 Al
9.9699 1.9324 1.4879 Al
0.0000 0.0000 0.0000 Fe
5.2106 5.2106 0.0000 Fe
1.4272 6.6378 0.0000 Pd
3.7835 1.4272 0.0000 Pd
6.6378 8.9941 0.0000 Pd
8.9941 3.7835 0.0000 Pd
```

Size of the total moment in μB per atom: 0.000
Energy of formation from the pure elements in eV/atom: -0.48
Mass density in g cm⁻³: 7.82
SG: No. 127

***

Record 5
Material: La2ZnSbOs
Method: DFT, PBE
State: optimized geometry

The structure in POSCAR format:
```
La2ZnSbOs
1.0
5.5618 0.0000 0.0000
0.0000 5.5618 0.0000
0.0000 0.0000 5.0806
La Zn Sb Os
2 1 1 1
Cartesian
0.0000 2.7809 0.0000 La
2.7809 0.0000 0.0000 La
0.0000 0.0000 2.5403 Zn
2.7809 2.7809 2.5403 Sb
2.7809 2.7809 0.0000 Os
```

Formation energy (no corrections) in eV per formula unit: -0.67
Size of the total moment in μB per atom: 0.000
Mass density in g cm⁻³: 6.92
SG: No. 123

***

Record 6
Material: RbInSb
Method: DFT, PBE
State: optimized geometry

The structure in POSCAR format:
```
RbInSb
1.0
4.7780 0.0000 0.0000
-2.3890 4.1379 0.0000
0.0000 0.0000 6.1471
Rb In Sb
1 1 1
Cartesian
0.0000 0.0000 0.0000 Rb
0.0000 2.7586 3.5645 In
2.3890 1.3793 2.5734 Sb
```

Formation energy (no corrections) in eV per formula unit: -0.69
Size of the total moment in μB per atom: 0.000
Mass density in g cm⁻³: 4.40
SG: No. 156